Record 1
First-principles (PBE-GGA) data for a geometry-optimized CaZr3Zn structure, as listed in the Alexandria database.

Values from the calculation:
The value obtained for the energy is -5.24 eV per atom. The value obtained for the energy relative to the lowest polymorph listed for this composition is 0.000 eV/atom. For the formation enthalpy at 0 K, the calculation gives 0.5396 eV per atom.

Cell lengths 5.142, 5.142, 5.142 Å; angles 90.00, 90.00, 90.00 degrees
Atoms (fractional coordinates):
Zr1 0.000 0.500 0.000
Ca1 0.500 0.500 0.500
Zr2 0.500 0.000 0.000
Zr3 0.000 0.000 0.500
Zn1 0.000 0.000 0.000

***

Record 2
First-principles (PBE-GGA) data for a geometry-optimized CaZr2Zn structure, as listed in the Alexandria database.

Values from the calculation:
The value obtained for the energy is -5.13 eV per atom. For the formation enthalpy at 0 K, the calculation gives -0.0321 eV per atom.

Cell lengths 3.359, 3.355, 9.181 Å; angles 68.53, 90.00, 90.00 degrees
Atoms (fractional coordinates):
Zn1 0.500 0.722 0.778
Zr1 0.000 0.026 0.974
Ca1 0.000 0.461 0.539
Zr2 0.500 0.290 0.210

***

Record 3
First-principles (PBE-GGA) data for a geometry-optimized CaZrZn3 structure, as listed in the Alexandria database.

Values from the calculation:
The value obtained for the energy is -1.90 eV per atom. The value obtained for the energy relative to the lowest polymorph listed for this composition is 0.525 eV/atom. For the formation enthalpy at 0 K, the calculation gives 0.9759 eV per atom.

Cell lengths 4.952, 4.952, 4.952 Å; angles 90.00, 90.00, 90.00 degrees
Atoms (fractional coordinates):
Zr1 0.500 0.500 0.500
Ca1 0.000 0.000 0.000
Zn1 0.000 0.000 0.500
Zn2 0.000 0.500 0.000
Zn3 0.500 0.000 0.000

***

- What is the energy in the first record?
  -5.24 eV per atom